[1]
# Hf8Co2Sn (PBE, relaxed)
# Energy of formation from the pure elements: -0.136 eV per atom
# DOS at the Fermi energy: 0.974 states/eV per atom
# E: -99.34 eV/f.u.
# Spin magnetization: 0.00 μB per formula unit
data_Hf8Co2Sn
_chemical_formula_sum 'Hf16 Co4 Sn2'
_space_group_name_H-M_alt 'C 1 2/m 1'
_space_group_IT_number 12
_space_group_name_Hall '-C 2y'
_cell_length_a 7.6496
_cell_length_b 12.3120
_cell_length_c 5.0645
_cell_angle_alpha 90.00
_cell_angle_beta 106.49
_cell_angle_gamma 90.00
loop_
_atom_site_label
_atom_site_type_symbol
_atom_site_fract_x
_atom_site_fract_y
_atom_site_fract_z
_atom_site_occupancy
Hf1 Hf 0.0000 0.2459 0.0000 1
Hf2 Hf 0.0900 0.0000 0.8030 1
Hf3 Hf 0.2115 0.3764 0.5638 1
Co1 Co 0.0000 0.2087 0.5000 1
Sn1 Sn 0.0000 0.5000 0.0000 1

***

[2]
# Hf3CoSn2 (PBE, relaxed)
# Energy of formation from the pure elements: -0.319 eV per atom
# DOS at the Fermi energy: 0.799 states/eV per atom
# E: -46.89 eV/f.u.
# Spin magnetization: 0.00 μB per formula unit
data_Hf3CoSn2
_chemical_formula_sum 'Hf12 Co4 Sn8'
_space_group_name_H-M_alt 'P n m a'
_space_group_IT_number 62
_space_group_name_Hall '-P 2ac 2n'
_cell_length_a 11.6836
_cell_length_b 3.9424
_cell_length_c 10.8314
_cell_angle_alpha 90.00
_cell_angle_beta 90.00
_cell_angle_gamma 90.00
loop_
_atom_site_label
_atom_site_type_symbol
_atom_site_fract_x
_atom_site_fract_y
_atom_site_fract_z
_atom_site_occupancy
Hf1 Hf 0.0631 0.2500 0.1080 1
Hf2 Hf 0.1125 0.7500 0.5338 1
Hf3 Hf 0.2338 0.7500 0.2657 1
Co1 Co 0.1111 0.2500 0.3549 1
Sn1 Sn 0.0206 0.2500 0.7120 1
Sn2 Sn 0.1955 0.7500 0.9746 1

***

[3]
# Hf8Co3Sn2 (PBE, relaxed)
# Energy of formation from the pure elements: -0.010 eV per atom
# DOS at the Fermi energy: 0.909 states/eV per atom
# E: -109.08 eV/f.u.
# Spin magnetization: 0.00 μB per formula unit
data_Hf8Co3Sn2
_chemical_formula_sum 'Hf16 Co6 Sn4'
_space_group_name_H-M_alt 'C 1 2/m 1'
_space_group_IT_number 12
_space_group_name_Hall '-C 2y'
_cell_length_a 16.1445
_cell_length_b 6.5409
_cell_length_c 5.5065
_cell_angle_alpha 90.00
_cell_angle_beta 107.38
_cell_angle_gamma 90.00
loop_
_atom_site_label
_atom_site_type_symbol
_atom_site_fract_x
_atom_site_fract_y
_atom_site_fract_z
_atom_site_occupancy
Hf1 Hf 0.0860 0.0000 0.4373 1
Hf2 Hf 0.0957 0.2657 0.9441 1
Hf3 Hf 0.1642 0.5000 0.5453 1
Co1 Co 0.0000 0.0000 0.0000 1
Co2 Co 0.0000 0.3187 0.5000 1
Sn1 Sn 0.2410 0.0000 0.8563 1

***

[4]
# HfCo2Sn (PBE, relaxed)
# Energy of formation from the pure elements: 0.271 eV per atom
# DOS at the Fermi energy: 0.798 states/eV per atom
# E: -27.09 eV/f.u.
# Spin magnetization: 0.00 μB per formula unit
data_HfCo2Sn
_chemical_formula_sum 'Hf4 Co8 Sn4'
_space_group_name_H-M_alt 'I -4 2 d'
_space_group_IT_number 122
_space_group_name_Hall 'I -4 2bw'
_cell_length_a 6.8507
_cell_length_b 6.8507
_cell_length_c 5.7829
_cell_angle_alpha 90.00
_cell_angle_beta 90.00
_cell_angle_gamma 90.00
loop_
_atom_site_label
_atom_site_type_symbol
_atom_site_fract_x
_atom_site_fract_y
_atom_site_fract_z
_atom_site_occupancy
Hf1 Hf 0.0000 0.0000 0.0000 1
Co1 Co 0.2413 0.2500 0.1250 1
Sn1 Sn 0.0000 0.0000 0.5000 1

***

[5]
# Hf6Co2Sn (PBE, relaxed)
# Energy of formation from the pure elements: -0.250 eV per atom
# DOS at the Fermi energy: 1.138 states/eV per atom
# E: -80.19 eV/f.u.
# Spin magnetization: 0.00 μB per formula unit
data_Hf6Co2Sn
_chemical_formula_sum 'Hf24 Co8 Sn4'
_space_group_name_H-M_alt 'I m m m'
_space_group_IT_number 71
_space_group_name_Hall '-I 2 2'
_cell_length_a 8.5088
_cell_length_b 8.5567
_cell_length_c 9.7623
_cell_angle_alpha 90.00
_cell_angle_beta 90.00
_cell_angle_gamma 90.00
loop_
_atom_site_label
_atom_site_type_symbol
_atom_site_fract_x
_atom_site_fract_y
_atom_site_fract_z
_atom_site_occupancy
Hf1 Hf 0.0000 0.2096 0.2396 1
Hf2 Hf 0.1932 0.5000 0.1705 1
Hf3 Hf 0.1987 0.3139 0.5000 1
Co1 Co 0.0000 0.3457 0.0000 1
Co2 Co 0.0000 0.5000 0.3714 1
Sn1 Sn 0.0000 0.0000 0.0000 1
Sn2 Sn 0.0000 0.0000 0.5000 1

***

[6]
# Hf4Co2Sn (PBE, relaxed)
# Energy of formation from the pure elements: -0.139 eV per atom
# DOS at the Fermi energy: 0.684 states/eV per atom
# E: -59.00 eV/f.u.
# Spin magnetization: 0.00 μB per formula unit
data_Hf4Co2Sn
_chemical_formula_sum 'Hf12 Co6 Sn3'
_space_group_name_H-M_alt 'R -3 m'
_space_group_IT_number 166
_space_group_name_Hall '-R 3 2"'
_cell_length_a 4.2291
_cell_length_b 4.2291
_cell_length_c 27.6653
_cell_angle_alpha 90.00
_cell_angle_beta 90.00
_cell_angle_gamma 120.00
loop_
_atom_site_label
_atom_site_type_symbol
_atom_site_fract_x
_atom_site_fract_y
_atom_site_fract_z
_atom_site_occupancy
Hf1 Hf 0.0000 0.0000 0.1051 1
Hf2 Hf 0.0000 0.0000 0.3010 1
Co1 Co 0.0000 0.0000 0.3972 1
Sn1 Sn 0.0000 0.0000 0.5000 1

***

[7]
# Hf6CoSn2 (PBE, relaxed)
# Energy of formation from the pure elements: 0.362 eV per atom
# DOS at the Fermi energy: 0.784 states/eV per atom
# E: -71.58 eV/f.u.
# Spin magnetization: 0.00 μB per formula unit
data_Hf6CoSn2
_chemical_formula_sum 'Hf12 Co2 Sn4'
_space_group_name_H-M_alt 'P 42/m n m'
_space_group_IT_number 136
_space_group_name_Hall '-P 4n 2n'
_cell_length_a 5.9446
_cell_length_b 5.9446
_cell_length_c 13.3074
_cell_angle_alpha 90.00
_cell_angle_beta 90.00
_cell_angle_gamma 90.00
loop_
_atom_site_label
_atom_site_type_symbol
_atom_site_fract_x
_atom_site_fract_y
_atom_site_fract_z
_atom_site_occupancy
Hf1 Hf 0.1874 0.1874 0.1267 1
Hf2 Hf 0.1963 0.1963 0.5000 1
Co1 Co 0.0000 0.0000 0.0000 1
Sn1 Sn 0.0000 0.0000 0.3101 1

***

[8]
# Hf7Co2Sn2 (PBE, relaxed)
# Energy of formation from the pure elements: -0.314 eV per atom
# DOS at the Fermi energy: 0.955 states/eV per atom
# E: -95.35 eV/f.u.
# Spin magnetization: 0.00 μB per formula unit
data_Hf7Co2Sn2
_chemical_formula_sum 'Hf14 Co4 Sn4'
_space_group_name_H-M_alt 'I m m 2'
_space_group_IT_number 44
_space_group_name_Hall 'I 2 -2'
_cell_length_a 3.3351
_cell_length_b 14.9853
_cell_length_c 9.0584
_cell_angle_alpha 90.00
_cell_angle_beta 90.00
_cell_angle_gamma 90.00
loop_
_atom_site_label
_atom_site_type_symbol
_atom_site_fract_x
_atom_site_fract_y
_atom_site_fract_z
_atom_site_occupancy
Hf1 Hf 0.0000 0.0000 0.0000 1
Hf2 Hf 0.0000 0.1450 0.5572 1
Hf3 Hf 0.0000 0.3230 0.3541 1
Hf4 Hf 0.0000 0.3420 0.7237 1
Co1 Co 0.0000 0.2297 0.0453 1
Sn1 Sn 0.0000 0.0000 0.3306 1
Sn2 Sn 0.0000 0.5000 0.2090 1

***

[9]
# HfCo2Sn (PBE, relaxed)
# Energy of formation from the pure elements: -0.270 eV per atom
# DOS at the Fermi energy: 0.562 states/eV per atom
# E: -29.25 eV/f.u.
# Spin magnetization: 1.28 μB per formula unit
data_HfCo2Sn
_chemical_formula_sum 'Hf1 Co2 Sn1'
_space_group_name_H-M_alt 'P 4/m m m'
_space_group_IT_number 123
_space_group_name_Hall '-P 4 2'
_cell_length_a 4.2918
_cell_length_b 4.2918
_cell_length_c 3.3426
_cell_angle_alpha 90.00
_cell_angle_beta 90.00
_cell_angle_gamma 90.00
loop_
_atom_site_label
_atom_site_type_symbol
_atom_site_fract_x
_atom_site_fract_y
_atom_site_fract_z
_atom_site_occupancy
Hf1 Hf 0.0000 0.0000 0.0000 1
Co1 Co 0.0000 0.5000 0.5000 1
Sn1 Sn 0.5000 0.5000 0.0000 1

***

[10]
# Hf3CoSn (PBE, relaxed)
# Offset from the most stable computed form: 92 meV/atom
# Energy of formation from the pure elements: -0.235 eV per atom
# DOS at the Fermi energy: 0.841 states/eV per atom
# E: -42.14 eV/f.u.
# Spin magnetization: 0.00 μB per formula unit
data_Hf3CoSn
_chemical_formula_sum 'Hf12 Co4 Sn4'
_space_group_name_H-M_alt 'C 1 2/m 1'
_space_group_IT_number 12
_space_group_name_Hall '-C 2y'
_cell_length_a 9.2145
_cell_length_b 6.1483
_cell_length_c 8.0982
_cell_angle_alpha 90.00
_cell_angle_beta 115.91
_cell_angle_gamma 90.00
loop_
_atom_site_label
_atom_site_type_symbol
_atom_site_fract_x
_atom_site_fract_y
_atom_site_fract_z
_atom_site_occupancy
Hf1 Hf 0.0260 0.0000 0.2106 1
Hf2 Hf 0.1917 0.5000 0.8905 1
Hf3 Hf 0.1968 0.5000 0.2940 1
Co1 Co 0.0000 0.2994 0.0000 1
Sn1 Sn 0.0000 0.2715 0.5000 1

***

Q: What is the formula in the fifth record?
A: Hf6Co2Sn